[1]
Compound: LiLa2PdO5
Source: Alexandria via LeMat-Bulk
Functional: GGA-PBE
Structure: relaxed

Values from the calculation:
E_form (uncorrected) (eV per atom): -2.16

Cell lengths 6.939, 6.939, 5.830 Å; angles 90.00, 90.00, 90.00 degrees
Space group P4/mbm (No. 127)
Asymmetric unit:
Li 0.000 0.000 0.000 [2 per cell]
La 0.178 0.322 0.500 [4 per cell]
Pd 0.000 0.500 0.000 [2 per cell]
O 0.000 0.000 0.500 [2 per cell]
O 0.137 0.637 0.249 [8 per cell]

=====

[2]
Compound: UGa2Pt4
Source: Alexandria via LeMat-Bulk
Functional: GGA-PBE
Structure: relaxed

Values from the calculation:
DFT formation energy (eV/f.u.): -4.5

Cell lengths 16.318, 4.119, 7.412 Å; angles 90.00, 90.00, 90.00 degrees
Space group Pnma (No. 62)
Asymmetric unit:
U 0.151 0.250 0.081 [4 per cell]
Ga 0.011 0.750 0.254 [4 per cell]
Ga 0.182 0.250 0.628 [4 per cell]
Pt 0.048 0.750 0.917 [4 per cell]
Pt 0.053 0.250 0.430 [4 per cell]
Pt 0.172 0.750 0.375 [4 per cell]
Pt 0.213 0.750 0.833 [4 per cell]

=====

[3]
Compound: MgCrRh4
Source: Alexandria via LeMat-Bulk
Functional: GGA-PBE
Structure: relaxed

Values from the calculation:
DFT formation energy (eV/f.u.): 0.3

Cell lengths 7.258, 7.258, 7.258 Å; angles 90.00, 90.00, 90.00 degrees
Space group F-43m (No. 216)
Asymmetric unit:
Mg 0.000 0.000 0.000 [4 per cell]
Cr 0.250 0.250 0.250 [4 per cell]
Rh 0.125 0.125 0.625 [16 per cell]

=====

[4]
Compound: Ba2LaYMn
Source: Alexandria via LeMat-Bulk
Functional: GGA-PBE
Structure: relaxed

Values from the calculation:
DFT formation energy (eV/f.u.): 5.2

Cell lengths 6.446, 6.446, 5.901 Å; angles 90.00, 90.00, 90.00 degrees
Space group P4/mmm (No. 123)
Asymmetric unit:
Ba 0.000 0.500 0.000 [2 per cell]
La 0.000 0.000 0.500 [1 per cell]
Y 0.000 0.000 0.000 [1 per cell]
Mn 0.500 0.500 0.500 [1 per cell]

=====

[5]
Compound: In2IrPb
Source: Alexandria via LeMat-Bulk
Functional: GGA-PBE
Structure: relaxed

Values from the calculation:
DFT formation energy (eV/f.u.): 0.4

Cell lengths 3.251, 3.251, 8.987 Å; angles 90.00, 90.00, 90.00 degrees
Space group P4mm (No. 99)
Asymmetric unit:
In 0.000 0.000 0.000 [1 per cell]
In 0.500 0.500 0.276 [1 per cell]
Ir 0.000 0.000 0.459 [1 per cell]
Pb 0.500 0.500 0.667 [1 per cell]

=====

[6]
Compound: RuPt
Source: Alexandria via LeMat-Bulk
Functional: GGA-PBE
Structure: relaxed

Values from the calculation:
DFT formation energy (eV/f.u.): 0.0

Cell lengths 9.146, 2.739, 4.779 Å; angles 90.00, 99.79, 90.00 degrees
Space group C2/m (No. 12)
Asymmetric unit:
Ru 0.130 0.000 0.386 [4 per cell]
Pt 0.122 0.500 0.872 [4 per cell]

=====

| no. | E (eV for the cell shown) |
| --- | --- |
| 1 | -122.38 |
| 2 | -183.94 |
| 3 | -161.40 |
| 4 | -19.20 |
| 5 | -17.65 |
| 6 | -61.19 |